An optimized crystal structure of KErMnSe3, computed with PBE.

Properties
The calculation puts the formation energy from raw total energies at -1.2919 eV/atom. The theoretical density comes out at 4.7 g/cm3.

Lattice parameters (Å, degrees): 4.193 9.028 9.863 107.77 90.00 90.00
Site moments in Bohr magnetons follow the coordinates.
Fractional positions:
Mn 0.250 0.086 0.610  4.18
K 0.750 0.792 0.767  0.00
K 0.250 0.208 0.233  0.00
Se 0.250 0.538 0.842  0.02
Mn 0.750 0.914 0.390  4.18
Er 0.250 0.667 0.139  0.05
Se 0.750 0.462 0.158  0.02
Se 0.250 0.113 0.865  0.06
Er 0.750 0.333 0.861  0.05
Se 0.750 0.210 0.539  0.11
Se 0.250 0.790 0.461  0.11
Se 0.750 0.887 0.135  0.06